Entry 1:
The following is a PBE calculation of an optimized crystal structure of Cd3AgPd2, from the Alexandria database.

## Properties
formation energy = -0.280 eV/atom

abc: 3.1209 3.1209 11.1822
angles: 90.00 90.00 90.00
Space group P4/mmm (No. 123)
Unique sites:
Cd1 0.0000 0.0000 0.0000 [1 per cell]
Cd2 0.0000 0.0000 0.3207 [2 per cell]
Ag1 0.5000 0.5000 0.5000 [1 per cell]
Pd1 0.5000 0.5000 0.1608 [2 per cell]

***

Entry 2:
The following is a PBE calculation of an optimized crystal structure of Tb2PrAg2Sn2, from the Alexandria database.

## Properties
formation energy = -0.448 eV/atom

abc: 4.8963 4.8963 26.3655
angles: 90.00 90.00 120.00
Space group R-3m (No. 166, hexagonal axes)
Unique sites:
Tb1 0.0000 0.0000 0.1349 [6 per cell]
Pr1 0.0000 0.0000 0.0000 [3 per cell]
Ag1 0.0000 0.0000 0.4384 [6 per cell]
Sn1 0.0000 0.0000 0.2629 [6 per cell]

***

Entry 3:
The following is a PBE calculation of an optimized crystal structure of Ca2ErOsO8, from the Alexandria database.

## Properties
energy relative to the elements, uncorrected = -2005 meV/atom

abc: 4.8796 6.6430 5.2192
angles: 90.00 90.48 90.00
Space group P2/m (No. 10)
Unique sites:
Ca1 0.0000 0.2441 0.0000 [2 per cell]
Er1 0.5000 0.5000 0.5000 [1 per cell]
Os1 0.5000 0.0000 0.5000 [1 per cell]
O1 0.2741 0.5000 0.1358 [2 per cell]
O2 0.2811 0.0000 0.2081 [2 per cell]
O3 0.2827 0.2087 0.6377 [4 per cell]

***

Entry 4:
The following is a PBE calculation of an optimized crystal structure of Mg14AlCu, from the Alexandria database.

## Properties
formation energy = 0.019 eV/atom

abc: 6.2469 6.2469 10.1151
angles: 90.00 90.00 120.00
Space group P-6m2 (No. 187)
Unique sites:
Mg1 0.0000 0.0000 0.2487 [2 per cell]
Mg2 0.0078 0.5039 0.2555 [6 per cell]
Mg3 0.3311 0.1655 0.5000 [3 per cell]
Mg4 0.3340 0.1670 0.0000 [3 per cell]
Al1 0.3333 0.6667 0.0000 [1 per cell]
Cu1 0.3333 0.6667 0.5000 [1 per cell]

***

no.,calculated density (g cm⁻³)
1,10.03
2,8.30
3,5.55
4,2.09